# TmTh3Sc3 PBE-GGA optimized geometry
data_TmTh3Sc3
_chemical_formula_sum 'Tm2 Th6 Sc6'
_cell_length_a 9.1565
_cell_length_b 9.1565
_cell_length_c 5.5935
_cell_angle_alpha 90.00
_cell_angle_beta 90.00
_cell_angle_gamma 120.00
_symmetry_space_group_name_H-M 'P 63/m'
_symmetry_Int_Tables_number 176
_symmetry_space_group_name_Hall '-P 6c'
loop_
_atom_site_label
_atom_site_type_symbol
_atom_site_fract_x
_atom_site_fract_y
_atom_site_fract_z
Tm1 Tm 0.3333 0.6667 0.2500
Th1 Th 0.0993 0.4722 0.7500
Sc1 Sc 0.0395 0.2283 0.2500
# polymorph energy (0 for the lowest one) = 14 meV per atom
# total magnetic moment = 0.00 μB/cell

***

# Cs4Rb2SiAs2 PBE-GGA optimized geometry
data_Cs4Rb2SiAs2
_chemical_formula_sum 'Cs8 Rb4 Si2 As4'
_cell_length_a 23.7419
_cell_length_b 10.4037
_cell_length_c 5.4354
_cell_angle_alpha 90.00
_cell_angle_beta 95.95
_cell_angle_gamma 90.00
_symmetry_space_group_name_H-M 'C 1 2/m 1'
_symmetry_Int_Tables_number 12
loop_
_symmetry_equiv_pos_as_xyz
'x,y,z'
'-x,-y,-z'
'-x,y,-z'
'x,-y,z'
'x+1/2,y+1/2,z'
'-x+1/2,-y+1/2,-z'
'-x+1/2,y+1/2,-z'
'x+1/2,-y+1/2,z'
loop_
_atom_site_label
_atom_site_type_symbol
_atom_site_fract_x
_atom_site_fract_y
_atom_site_fract_z
Cs1 Cs 0.0969 0.2450 0.4186
Rb1 Rb 0.2450 0.0000 0.0135
Si1 Si 0.0000 0.0000 0.0000
As1 As 0.0880 0.0000 0.9122
# total magnetic moment = 0.49 μB/cell
# ΔE_f (raw) = -0.131 eV per atom

***

# ScCoPd PBE-GGA optimized geometry
data_ScCoPd
_chemical_formula_sum 'Sc4 Co4 Pd4'
_cell_length_a 8.6845
_cell_length_b 3.9935
_cell_length_c 5.4875
_cell_angle_alpha 90.00
_cell_angle_beta 103.83
_cell_angle_gamma 90.00
_symmetry_space_group_name_H-M 'C 1 m 1'
_symmetry_Int_Tables_number 8
loop_
_symmetry_equiv_pos_as_xyz
'x,y,z'
'x,-y,z'
'x+1/2,y+1/2,z'
'x+1/2,-y+1/2,z'
loop_
_atom_site_label
_atom_site_type_symbol
_atom_site_fract_x
_atom_site_fract_y
_atom_site_fract_z
Sc1 Sc 0.0000 0.0000 0.0000
Sc2 Sc 0.1962 0.5000 0.3959
Co1 Co 0.1873 0.5000 0.9096
Co2 Co 0.3299 0.0000 0.1827
Pd1 Pd 0.0156 0.0000 0.5091
Pd2 Pd 0.3458 0.0000 0.7069
# total magnetic moment = 3.00 μB/cell
# final energy = -6.62 eV per atom

***

# SmSnPdRh PBE-GGA optimized geometry
data_SmSnPdRh
_chemical_formula_sum 'Sm4 Sn4 Pd4 Rh4'
_cell_length_a 6.8043
_cell_length_b 6.8043
_cell_length_c 6.8043
_cell_angle_alpha 90.00
_cell_angle_beta 90.00
_cell_angle_gamma 90.00
_symmetry_space_group_name_H-M 'F -4 3 m'
_symmetry_Int_Tables_number 216
_symmetry_space_group_name_Hall 'F -4 2 3'
loop_
_atom_site_label
_atom_site_type_symbol
_atom_site_fract_x
_atom_site_fract_y
_atom_site_fract_z
Sm1 Sm 0.0000 0.0000 0.0000
Sn1 Sn 0.0000 0.0000 0.5000
Pd1 Pd 0.2500 0.2500 0.7500
Rh1 Rh 0.2500 0.2500 0.2500
# total magnetic moment = 0.00 μB/cell
# final energy = -6.05 eV per atom